Compound: LiOs2PdSe
Source: Alexandria
Functional: PBE
Structure: relaxed

Lattice parameters (Å, degrees): 4.5509 4.5509 4.7389 90.00 90.00 90.00
Closest atoms and distances in Å follow each position.
Space group P4/mmm (No. 123)
Inequivalent atoms, fractional coordinates:
Li1 0.0000 0.0000 0.0000 [1 per cell]  4 Pd 3.22, 8 Os 3.29
Os1 0.0000 0.5000 0.5000 [2 per cell]  2 Se 2.28
Pd1 0.5000 0.5000 0.0000 [1 per cell]  2 Se 2.37
Se1 0.5000 0.5000 0.5000 [1 per cell]  4 Os 2.28, 2 Pd 2.37

* uncorrected formation energy: 1.1221 eV/atom
* density: 9.69 g/cm³